[1]
A plane-wave DFT calculation with PBE was carried out for crystalline LaCu2I at its relaxed geometry.

Lattice parameters (Å, degrees): 6.4810 6.4810 6.4810 103.12 103.12 123.10
Last column: nearest neighbours and their distance in Å.
Fractional coordinates of all 8 atoms:
La 0.0000 0.0000 0.0000  4 Cu 3.04, 2 I 3.09
La 0.7500 0.2500 0.5000  4 Cu 3.04, 2 I 3.09
Cu 0.1405 0.6250 0.0155  2 I 2.87, 2 La 3.04, 2 Cu 3.10
Cu 0.3750 0.3905 0.5155  2 I 2.87, 2 La 3.04, 2 Cu 3.10
Cu 0.6095 0.1250 0.9845  2 I 2.87, 2 La 3.04, 2 Cu 3.10
Cu 0.8750 0.8595 0.4845  2 I 2.87, 2 La 3.04, 2 Cu 3.10
I 0.2500 0.7500 0.5000  4 Cu 2.87, 2 La 3.09
I 0.5000 0.5000 0.0000  4 Cu 2.87, 2 La 3.09

Computed properties:
space-group type	I-42d

[2]
A plane-wave DFT calculation with PBE was carried out for crystalline LaCu2I2 at its relaxed geometry.

Lattice parameters (Å, degrees): 8.2645 8.2645 3.9871 90.00 90.00 90.00
Last column: nearest neighbours and their distance in Å.
Fractional coordinates of all 10 atoms:
La 0.0000 0.0000 0.0000  4 I 3.15
La 0.5000 0.5000 0.0000  4 I 3.15
Cu 0.1908 0.3092 0.5000  2 I 2.73
Cu 0.3092 0.8092 0.5000  2 I 2.73
Cu 0.6908 0.1908 0.5000  2 I 2.73
Cu 0.8092 0.6908 0.5000  2 I 2.73
I 0.1494 0.6494 0.0000  2 Cu 2.73
I 0.3506 0.1494 0.0000  2 Cu 2.73
I 0.6494 0.8506 0.0000  2 Cu 2.73
I 0.8506 0.3506 0.0000  2 Cu 2.73

Computed properties:
space-group type	P4/mbm

[3]
A plane-wave DFT calculation with PBE was carried out for crystalline LaCuI2 at its relaxed geometry.

Lattice parameters (Å, degrees): 9.7376 9.7376 9.7376 24.29 24.29 24.29
Last column: nearest neighbours and their distance in Å.
Fractional coordinates of all 4 atoms:
La 0.0000 0.0000 0.0000  2 I 3.14
Cu 0.5000 0.5000 0.5000  6 I 2.84
I 0.1109 0.1109 0.1109  3 Cu 2.84, 1 La 3.14
I 0.8891 0.8891 0.8891  3 Cu 2.84, 1 La 3.14

Computed properties:
space-group type	R-3m

[4]
A plane-wave DFT calculation with PBE was carried out for crystalline La7CuI12 at its relaxed geometry.

Lattice parameters (Å, degrees): 10.1370 10.1370 10.1370 107.87 107.87 107.87
Last column: nearest neighbours and their distance in Å.
Fractional coordinates of all 20 atoms:
La 0.0000 0.0000 0.0000  6 I 3.24
La 0.1811 0.4610 0.3875  1 Cu 2.93, 2 I 3.25-3.28
La 0.3875 0.1811 0.4610  1 Cu 2.93, 2 I 3.25-3.28
La 0.4610 0.3875 0.1811  1 Cu 2.93, 2 I 3.25-3.28
La 0.5390 0.6125 0.8189  1 Cu 2.93, 2 I 3.25-3.28
La 0.6125 0.8189 0.5390  1 Cu 2.93, 2 I 3.25-3.28
La 0.8189 0.5390 0.6125  1 Cu 2.93, 2 I 3.25-3.28
Cu 0.5000 0.5000 0.5000  6 La 2.93
I 0.0200 0.1047 0.3442  3 La 3.24-3.30
I 0.1047 0.3442 0.0200  3 La 3.24-3.30
I 0.1857 0.5750 0.7264  3 La 3.25-3.40
I 0.2736 0.8143 0.4250  3 La 3.25-3.40
I 0.3442 0.0200 0.1047  3 La 3.24-3.30
I 0.4250 0.2736 0.8143  3 La 3.25-3.40
I 0.5750 0.7264 0.1857  3 La 3.25-3.40
I 0.6558 0.9800 0.8953  3 La 3.24-3.30
I 0.7264 0.1857 0.5750  3 La 3.25-3.40
I 0.8143 0.4250 0.2736  3 La 3.25-3.40
I 0.8953 0.6558 0.9800  3 La 3.24-3.30
I 0.9800 0.8953 0.6558  3 La 3.24-3.30

Computed properties:
space-group type	R-3

| no. | formation energy without anion corrections (eV per formula unit) |
| --- | --- |
| 1 | 0.00 |
| 2 | 0.25 |
| 3 | -1.03 |
| 4 | -25.42 |